## Tl2AgP2S6 (GGA-PBE)

Data for a relaxed structure of Tl2AgP2S6.

The structure in POSCAR format:
```
Tl2AgP2S6
1.0
-5.419 3.816 -1.595
-6.008 -1.194 2.990
-2.151 5.371 5.593
Tl S P Ag
2 6 2 1
Direct
0.226 0.226 0.323 Tl
0.774 0.774 0.677 Tl
0.758 0.254 0.733 S
0.242 0.746 0.267 S
0.746 0.746 0.267 S
0.746 0.242 0.267 S
0.254 0.254 0.733 S
0.254 0.758 0.733 S
0.563 0.563 0.310 P
0.437 0.437 0.690 P
0.000 0.000 0.000 Ag
```

Properties
- total magnetization (μB/cell) = 0.000
- VASP energy (Ry/atom) = -0.3028
- D(E_F) (states/eV/f.u.) = 2.6
- formation energy from raw total energies (kJ per mole of atoms) = -19